The following is a DFT calculation (GGA-PBEsol) of Re3Ru after structural relaxation.

Structure (POSCAR):
```
Re3Ru
1.0
3.851 0.000 0.000
0.000 3.851 0.000
0.000 0.000 3.851
Re Ru
3 1
direct
0.000 0.000 0.500 Re
0.500 0.000 0.000 Re
0.000 0.500 0.000 Re
0.500 0.500 0.500 Ru
```

Values from the calculation:
Calculated volume   14.3 A^3/atom
DOS at the Fermi energy   0.925 states/eV per atom
M_tot   0.000 μB/atom
ΔE_f   33 meV/atom

---

The following is a DFT calculation (GGA-PBEsol) of ReSb2Ru after structural relaxation.

Structure (POSCAR):
```
ReSb2Ru
1.0
-4.521 1.133 0.233
-2.606 -1.519 3.561
-1.489 3.001 3.249
Re Ru Sb
1 1 2
direct
0.500 0.500 0.500 Re
0.250 0.250 0.250 Ru
0.750 0.750 0.750 Sb
0.000 0.000 0.000 Sb
```

Values from the calculation:
Calculated volume   18.0 A^3/atom
ΔE_f (raw)   20.78 kcal/mol of atoms
DOS at the Fermi energy   1.599 states/eV per atom
M_tot   0.000 μB/atom

---

The following is a DFT calculation (GGA-PBEsol) of Re2SbRu after structural relaxation.

Structure (POSCAR):
```
Re2SbRu
1.0
2.895 0.000 0.000
1.448 2.507 0.000
1.448 0.836 8.648
Sb Re Ru
1 2 1
direct
0.248 0.248 0.256 Sb
0.750 0.750 0.749 Re
0.004 0.004 0.989 Re
0.498 0.498 0.506 Ru
```

Values from the calculation:
Calculated volume   15.7 A^3/atom
ΔE_f (raw)   8.35 kcal/mol of atoms
DOS at the Fermi energy   0.634 states/eV per atom
M_tot   0.000 μB/atom

---

The following is a DFT calculation (GGA-PBEsol) of ReSb2Ru after structural relaxation.

Structure (POSCAR):
```
ReSb2Ru
1.0
-2.152 -1.429 -1.540
-1.758 -2.010 1.384
-7.883 6.226 2.300
Re Ru Sb
1 1 2
direct
0.509 0.509 0.472 Re
0.242 0.242 0.275 Ru
0.979 0.979 0.064 Sb
0.770 0.770 0.689 Sb
```

Values from the calculation:
Calculated volume   19.9 A^3/atom
ΔE_f (raw)   8.65 kcal/mol of atoms
DOS at the Fermi energy   0.618 states/eV per atom
M_tot   0.000 μB/atom